# TlAsW2, optimized geometry, DFT PBE
# excess energy over the best structure of this formula in the dataset: 606 meV per atom
# raw total energy: -7.225 eV/atom
# space-group type: I-42d (122)
# N(E_F): 6.7 states/eV/cell
# ΔH_f (0 K): 4.022 eV per formula unit
data_TlAsW2
_space_group_name_H-M_alt 'P 1'
_space_group_IT_number 1
_cell_length_a 4.1204
_cell_length_b 4.1204
_cell_length_c 9.9571
_cell_angle_alpha 78.06
_cell_angle_beta 78.06
_cell_angle_gamma 90.00
loop_
_space_group_symop_operation_xyz
'x,y,z'
loop_
_atom_site_label
_atom_site_fract_x
_atom_site_fract_y
_atom_site_fract_z
As1 0.5000 0.5000 0.0000
As2 0.2500 0.7500 0.5000
W1 0.8750 0.8108 0.7500
W2 0.1892 0.6250 0.2500
W3 0.5608 0.1250 0.2500
W4 0.3750 0.4392 0.7500
Tl1 0.7500 0.2500 0.5000
Tl2 0.0000 0.0000 0.0000



# TlAsW3, optimized geometry, DFT PBE
# excess energy over the best structure of this formula in the dataset: 1704 meV per atom
# raw total energy: -5.872 eV/atom
# space-group type: Pm-3m (221)
# N(E_F): 10.6 states/eV/cell
# ΔH_f (0 K): 16.514 eV per formula unit
data_TlAsW3
_space_group_name_H-M_alt 'P 1'
_space_group_IT_number 1
_cell_length_a 4.9778
_cell_length_b 4.9778
_cell_length_c 4.9778
_cell_angle_alpha 90.00
_cell_angle_beta 90.00
_cell_angle_gamma 90.00
loop_
_space_group_symop_operation_xyz
'x,y,z'
loop_
_atom_site_label
_atom_site_fract_x
_atom_site_fract_y
_atom_site_fract_z
W1 0.5000 0.0000 0.0000
W2 0.0000 0.5000 0.0000
W3 0.0000 0.0000 0.5000
Tl1 0.0000 0.0000 0.0000
As1 0.5000 0.5000 0.5000



# TlAsW2, optimized geometry, DFT PBE
# excess energy over the best structure of this formula in the dataset: 576 meV per atom
# raw total energy: -7.256 eV/atom
# space-group type: P4/mmm (123)
# N(E_F): 3.4 states/eV/cell
# ΔH_f (0 K): 3.900 eV per formula unit
data_TlAsW2
_space_group_name_H-M_alt 'P 1'
_space_group_IT_number 1
_cell_length_a 4.6244
_cell_length_b 4.6244
_cell_length_c 3.2371
_cell_angle_alpha 90.00
_cell_angle_beta 90.00
_cell_angle_gamma 89.99
loop_
_space_group_symop_operation_xyz
'x,y,z'
loop_
_atom_site_label
_atom_site_fract_x
_atom_site_fract_y
_atom_site_fract_z
Tl1 0.0000 0.5000 0.5000
As1 0.5000 0.0000 0.5000
W1 0.5000 0.5000 0.0000
W2 0.0000 0.0000 0.0000



# TlAs2W, optimized geometry, DFT PBE
# excess energy over the best structure of this formula in the dataset: 0 meV per atom
# raw total energy: -6.088 eV/atom
# space-group type: R-3m (166)
# N(E_F): 3.4 states/eV/cell
# ΔH_f (0 K): 0.267 eV per formula unit
data_TlAs2W
_space_group_name_H-M_alt 'P 1'
_space_group_IT_number 1
_cell_length_a 9.8312
_cell_length_b 9.8312
_cell_length_c 9.8312
_cell_angle_alpha 18.99
_cell_angle_beta 18.99
_cell_angle_gamma 18.99
loop_
_space_group_symop_operation_xyz
'x,y,z'
loop_
_atom_site_label
_atom_site_fract_x
_atom_site_fract_y
_atom_site_fract_z
Tl1 0.2500 0.2500 0.2500
As1 0.0213 0.0213 0.0213
As2 0.4787 0.4787 0.4787
W1 0.7500 0.7500 0.7500



# TlAsW, optimized geometry, DFT PBE
# excess energy over the best structure of this formula in the dataset: 132 meV per atom
# raw total energy: -6.121 eV/atom
# space-group type: Fmm2 (42)
# N(E_F): 0.9 states/eV/cell
# ΔH_f (0 K): 1.606 eV per formula unit
data_TlAsW
_space_group_name_H-M_alt 'P 1'
_space_group_IT_number 1
_cell_length_a 8.6247
_cell_length_b 8.4428
_cell_length_c 2.9703
_cell_angle_alpha 83.45
_cell_angle_beta 76.54
_cell_angle_gamma 20.01
loop_
_space_group_symop_operation_xyz
'x,y,z'
loop_
_atom_site_label
_atom_site_fract_x
_atom_site_fract_y
_atom_site_fract_z
As1 0.9624 0.9624 0.0376
W1 0.3493 0.3493 0.6507
Tl1 0.6883 0.6883 0.3117



# TlAs2W, optimized geometry, DFT PBE
# excess energy over the best structure of this formula in the dataset: 352 meV per atom
# raw total energy: -5.735 eV/atom
# space-group type: I-42d (122)
# N(E_F): 6.0 states/eV/cell
# ΔH_f (0 K): 1.677 eV per formula unit
data_TlAs2W
_space_group_name_H-M_alt 'P 1'
_space_group_IT_number 1
_cell_length_a 6.4727
_cell_length_b 6.4727
_cell_length_c 7.4914
_cell_angle_alpha 64.41
_cell_angle_beta 64.41
_cell_angle_gamma 90.00
loop_
_space_group_symop_operation_xyz
'x,y,z'
loop_
_atom_site_label
_atom_site_fract_x
_atom_site_fract_y
_atom_site_fract_z
As1 0.5238 0.1250 0.2500
As2 0.2262 0.6250 0.2500
As3 0.8750 0.7738 0.7500
As4 0.3750 0.4762 0.7500
W1 0.2500 0.7500 0.5000
W2 0.5000 0.5000 0.0000
Tl1 0.7500 0.2500 0.5000
Tl2 0.0000 0.0000 0.0000



# TlAsW, optimized geometry, DFT PBE
# excess energy over the best structure of this formula in the dataset: 625 meV per atom
# raw total energy: -5.628 eV/atom
# space-group type: F-43m (216)
# N(E_F): 2.4 states/eV/cell
# ΔH_f (0 K): 3.086 eV per formula unit
data_TlAsW
_space_group_name_H-M_alt 'P 1'
_space_group_IT_number 1
_cell_length_a 4.5335
_cell_length_b 4.5335
_cell_length_c 4.5335
_cell_angle_alpha 60.00
_cell_angle_beta 60.00
_cell_angle_gamma 60.00
loop_
_space_group_symop_operation_xyz
'x,y,z'
loop_
_atom_site_label
_atom_site_fract_x
_atom_site_fract_y
_atom_site_fract_z
Tl1 0.5000 0.5000 0.5000
As1 0.0000 0.0000 0.0000
W1 0.7500 0.7500 0.7500



# TlAsW2, optimized geometry, DFT PBE
# excess energy over the best structure of this formula in the dataset: 295 meV per atom
# raw total energy: -7.536 eV/atom
# space-group type: P4/mmm (123)
# N(E_F): 3.5 states/eV/cell
# ΔH_f (0 K): 2.779 eV per formula unit
data_TlAsW2
_space_group_name_H-M_alt 'P 1'
_space_group_IT_number 1
_cell_length_a 3.1758
_cell_length_b 3.1758
_cell_length_c 7.0855
_cell_angle_alpha 90.00
_cell_angle_beta 90.00
_cell_angle_gamma 90.00
loop_
_space_group_symop_operation_xyz
'x,y,z'
loop_
_atom_site_label
_atom_site_fract_x
_atom_site_fract_y
_atom_site_fract_z
W1 0.0000 0.0000 0.4428
W2 0.0000 0.0000 0.0572
As1 0.5000 0.5000 0.2500
Tl1 0.5000 0.5000 0.7500



# TlAs2W, optimized geometry, DFT PBE
# excess energy over the best structure of this formula in the dataset: 229 meV per atom
# raw total energy: -5.859 eV/atom
# space-group type: Cmmm (65)
# N(E_F): 2.4 states/eV/cell
# ΔH_f (0 K): 1.183 eV per formula unit
data_TlAs2W
_space_group_name_H-M_alt 'P 1'
_space_group_IT_number 1
_cell_length_a 3.0754
_cell_length_b 3.0754
_cell_length_c 10.0056
_cell_angle_alpha 90.00
_cell_angle_beta 90.00
_cell_angle_gamma 111.99
loop_
_space_group_symop_operation_xyz
'x,y,z'
loop_
_atom_site_label
_atom_site_fract_x
_atom_site_fract_y
_atom_site_fract_z
As1 0.0000 0.0000 0.9399
As2 0.0000 0.0000 0.5601
W1 0.5000 0.5000 0.7500
Tl1 0.5000 0.5000 0.2500



# TlAs2W, optimized geometry, DFT PBE
# excess energy over the best structure of this formula in the dataset: 723 meV per atom
# raw total energy: -5.365 eV/atom
# space-group type: Fm-3m (225)
# N(E_F): 2.8 states/eV/cell
# ΔH_f (0 K): 3.160 eV per formula unit
data_TlAs2W
_space_group_name_H-M_alt 'P 1'
_space_group_IT_number 1
_cell_length_a 4.8010
_cell_length_b 4.8010
_cell_length_c 4.8010
_cell_angle_alpha 60.00
_cell_angle_beta 60.00
_cell_angle_gamma 60.00
loop_
_space_group_symop_operation_xyz
'x,y,z'
loop_
_atom_site_label
_atom_site_fract_x
_atom_site_fract_y
_atom_site_fract_z
As1 0.2500 0.2500 0.2500
As2 0.7500 0.7500 0.7500
W1 0.0000 0.0000 0.0000
Tl1 0.5000 0.5000 0.5000



# TlAs2W, optimized geometry, DFT PBE
# excess energy over the best structure of this formula in the dataset: 753 meV per atom
# raw total energy: -5.335 eV/atom
# space-group type: Cmmm (65)
# N(E_F): 3.3 states/eV/cell
# ΔH_f (0 K): 3.277 eV per formula unit
data_TlAs2W
_space_group_name_H-M_alt 'P 1'
_space_group_IT_number 1
_cell_length_a 4.8461
_cell_length_b 4.8461
_cell_length_c 3.4032
_cell_angle_alpha 90.00
_cell_angle_beta 90.00
_cell_angle_gamma 105.86
loop_
_space_group_symop_operation_xyz
'x,y,z'
loop_
_atom_site_label
_atom_site_fract_x
_atom_site_fract_y
_atom_site_fract_z
As1 0.0000 0.0000 0.0000
As2 0.5000 0.5000 0.0000
W1 0.0000 0.5000 0.5000
Tl1 0.5000 0.0000 0.5000



# TlAs2W, optimized geometry, DFT PBE
# excess energy over the best structure of this formula in the dataset: 422 meV per atom
# raw total energy: -5.666 eV/atom
# space-group type: Pm (6)
# N(E_F): 3.3 states/eV/cell
# ΔH_f (0 K): 1.956 eV per formula unit
data_TlAs2W
_space_group_name_H-M_alt 'P 1'
_space_group_IT_number 1
_cell_length_a 4.6751
_cell_length_b 3.6187
_cell_length_c 5.0647
_cell_angle_alpha 69.19
_cell_angle_beta 90.00
_cell_angle_gamma 90.00
loop_
_space_group_symop_operation_xyz
'x,y,z'
loop_
_atom_site_label
_atom_site_fract_x
_atom_site_fract_y
_atom_site_fract_z
Tl1 0.0000 0.5350 0.5551
W1 0.5000 0.9282 0.7653
As1 0.0000 0.8131 0.0028
As2 0.5000 0.2238 0.1768



# TlAsW2, optimized geometry, DFT PBE
# excess energy over the best structure of this formula in the dataset: 794 meV per atom
# raw total energy: -7.038 eV/atom
# space-group type: P4/mmm (123)
# N(E_F): 3.4 states/eV/cell
# ΔH_f (0 K): 4.771 eV per formula unit
data_TlAsW2
_space_group_name_H-M_alt 'P 1'
_space_group_IT_number 1
_cell_length_a 4.6306
_cell_length_b 4.0008
_cell_length_c 4.0008
_cell_angle_alpha 90.00
_cell_angle_beta 90.00
_cell_angle_gamma 90.00
loop_
_space_group_symop_operation_xyz
'x,y,z'
loop_
_atom_site_label
_atom_site_fract_x
_atom_site_fract_y
_atom_site_fract_z
Tl1 0.5000 0.0000 0.5000
W1 0.0000 0.0000 0.0000
W2 0.0000 0.5000 0.5000
As1 0.5000 0.5000 0.0000



# TlAsW2, optimized geometry, DFT PBE
# excess energy over the best structure of this formula in the dataset: 585 meV per atom
# raw total energy: -7.247 eV/atom
# space-group type: Pmmm (47)
# N(E_F): 2.9 states/eV/cell
# ΔH_f (0 K): 3.935 eV per formula unit
data_TlAsW2
_space_group_name_H-M_alt 'P 1'
_space_group_IT_number 1
_cell_length_a 3.2431
_cell_length_b 4.8528
_cell_length_c 4.5987
_cell_angle_alpha 90.00
_cell_angle_beta 90.00
_cell_angle_gamma 90.00
loop_
_space_group_symop_operation_xyz
'x,y,z'
loop_
_atom_site_label
_atom_site_fract_x
_atom_site_fract_y
_atom_site_fract_z
Tl1 0.0000 0.5000 0.5000
As1 0.5000 0.0000 0.5000
W1 0.5000 0.5000 0.0000
W2 0.0000 0.0000 0.0000



# TlAsW2, optimized geometry, DFT PBE
# excess energy over the best structure of this formula in the dataset: 780 meV per atom
# raw total energy: -7.051 eV/atom
# space-group type: I4/mmm (139)
# N(E_F): 4.2 states/eV/cell
# ΔH_f (0 K): 4.718 eV per formula unit
data_TlAsW2
_space_group_name_H-M_alt 'P 1'
_space_group_IT_number 1
_cell_length_a 5.4271
_cell_length_b 5.4271
_cell_length_c 5.4271
_cell_angle_alpha 136.72
_cell_angle_beta 136.72
_cell_angle_gamma 62.86
loop_
_space_group_symop_operation_xyz
'x,y,z'
loop_
_atom_site_label
_atom_site_fract_x
_atom_site_fract_y
_atom_site_fract_z
Tl1 0.7500 0.2500 0.5000
W1 0.5000 0.5000 0.0000
W2 0.0000 0.0000 0.0000
As1 0.2500 0.7500 0.5000